Crystalline Nd3Mg4In4 at its relaxed geometry. Source: the Alexandria database, functional GGA-PBE.

Cell and atoms, written as POSCAR:
```
Nd3Mg4In4
1.0
-2.406 3.804 7.945
2.406 -3.804 7.945
2.406 3.804 -7.945
Nd Mg In
3 4 4
Direct
0.000 0.000 0.000
0.378 0.878 0.500
0.622 0.122 0.500
0.024 0.329 0.696
0.367 0.671 0.696
0.633 0.329 0.304
0.976 0.671 0.304
0.216 0.216 0.000
0.306 0.500 0.806
0.694 0.500 0.194
0.784 0.784 0.000
```

* space group: Immm
* calculated total energy: -35.78 eV per cell
* volume: 290.81 Å³ per cell
* energy relative to the elements: -4.14 eV per formula unit